(1)
# NbCuSn, relaxed, DFT PBE
# Volume (Å³/cell): 56.5
# Uncorrected energy (eV for the cell shown): -17.051
# Magnetic moment (μB/f.u.): 0.4
data_NbCuSn
_symmetry_space_group_name_H-M 'P 1'
_symmetry_Int_Tables_number 1
_symmetry_space_group_name_Hall 'P 1'
_cell_length_a 4.3079
_cell_length_b 4.3079
_cell_length_c 4.3079
_cell_angle_alpha 60.00
_cell_angle_beta 60.00
_cell_angle_gamma 60.00
loop_
_atom_site_label
_atom_site_fract_x
_atom_site_fract_y
_atom_site_fract_z
Cu1 0.0000 0.0000 0.0000
Nb1 0.2500 0.2500 0.2500
Sn1 0.7500 0.7500 0.7500



(2)
# ZrZnFeB, relaxed, DFT PBE
# Volume (Å³/cell): 51.3
# Magnetic moment (μB/f.u.): 0.1
# Relative energy among the computed polymorphs (meV/atom): 0.0
data_ZrZnFeB
_symmetry_space_group_name_H-M 'P 1'
_symmetry_Int_Tables_number 1
_symmetry_space_group_name_Hall 'P 1'
_cell_length_a 4.1695
_cell_length_b 4.1695
_cell_length_c 4.1695
_cell_angle_alpha 60.00
_cell_angle_beta 60.00
_cell_angle_gamma 60.00
loop_
_atom_site_label
_atom_site_fract_x
_atom_site_fract_y
_atom_site_fract_z
B1 0.0000 0.0000 0.0000
Fe1 0.7500 0.7500 0.7500
Zn1 0.5000 0.5000 0.5000
Zr1 0.2500 0.2500 0.2500



(3)
# Mg2Co2Ni, relaxed, DFT PBE
# Volume (Å³/cell): 179.5
# Uncorrected energy (eV for the cell shown): -38.090
# Magnetic moment (μB/f.u.): 1.2
data_Mg2Co2Ni
_symmetry_space_group_name_H-M 'P 1'
_symmetry_Int_Tables_number 1
_symmetry_space_group_name_Hall 'P 1'
_cell_length_a 10.4877
_cell_length_b 10.4877
_cell_length_c 10.4877
_cell_angle_alpha 156.75
_cell_angle_beta 156.75
_cell_angle_gamma 33.11
loop_
_atom_site_label
_atom_site_fract_x
_atom_site_fract_y
_atom_site_fract_z
Co1 0.0564 0.0564 0.0000
Co2 0.9436 0.9436 0.0000
Co3 0.7500 0.2500 0.5000
Co4 0.2500 0.7500 0.5000
Mg1 0.1779 0.1779 0.0000
Mg2 0.8221 0.8221 0.0000
Mg3 0.5000 0.0000 0.5000
Mg4 0.0000 0.5000 0.5000
Ni1 0.3133 0.3133 0.0000
Ni2 0.6867 0.6867 0.0000



(4)
# Hf2AlZn3, relaxed, DFT PBE
# Volume (Å³/cell): 199.4
# Uncorrected energy (eV for the cell shown): -58.399
# Magnetic moment (μB/f.u.): 1.1
data_Hf2AlZn3
_symmetry_space_group_name_H-M 'P 1'
_symmetry_Int_Tables_number 1
_symmetry_space_group_name_Hall 'P 1'
_cell_length_a 5.2306
_cell_length_b 5.2306
_cell_length_c 8.4143
_cell_angle_alpha 90.00
_cell_angle_beta 90.00
_cell_angle_gamma 120.00
loop_
_atom_site_label
_atom_site_fract_x
_atom_site_fract_y
_atom_site_fract_z
Al1 0.0000 0.0000 0.0000
Al2 0.0000 0.0000 0.5000
Hf1 0.3333 0.6667 0.0658
Hf2 0.3333 0.6667 0.4342
Hf3 0.6667 0.3333 0.5658
Hf4 0.6667 0.3333 0.9342
Zn1 0.3466 0.1733 0.2500
Zn2 0.8267 0.1733 0.2500
Zn3 0.8267 0.6534 0.2500
Zn4 0.1733 0.3466 0.7500
Zn5 0.1733 0.8267 0.7500
Zn6 0.6534 0.8267 0.7500



(5)
# Rb2TaNiSe6, relaxed, DFT PBE
# Volume (Å³/cell): 257.3
# Uncorrected energy (eV for the cell shown): -44.884
# Magnetic moment (μB/f.u.): 0.0
data_Rb2TaNiSe6
_symmetry_space_group_name_H-M 'P 1'
_symmetry_Int_Tables_number 1
_symmetry_space_group_name_Hall 'P 1'
_cell_length_a 7.1392
_cell_length_b 7.1392
_cell_length_c 7.1392
_cell_angle_alpha 60.00
_cell_angle_beta 60.00
_cell_angle_gamma 60.00
loop_
_atom_site_label
_atom_site_fract_x
_atom_site_fract_y
_atom_site_fract_z
Ni1 0.5000 0.5000 0.5000
Rb1 0.2500 0.2500 0.2500
Rb2 0.7500 0.7500 0.7500
Se1 0.2541 0.7459 0.2541
Se2 0.7459 0.7459 0.2541
Se3 0.7459 0.2541 0.2541
Se4 0.2541 0.7459 0.7459
Se5 0.7459 0.2541 0.7459
Se6 0.2541 0.2541 0.7459
Ta1 0.0000 0.0000 0.0000